Here is a relaxed structure of Tm5Sn from the Alexandria database. Energies are from PBE.

a = 7.7045 Å, b = 7.7045 Å, c = 4.8091 Å
α = 90.00°, β = 90.00°, γ = 143.87°
Fractional coordinates of all 6 atoms:
Tm: 0.0000 0.0000 0.0000
Tm: 0.1622 0.8378 0.5000
Tm: 0.3311 0.6689 0.0000
Tm: 0.6689 0.3311 0.0000
Tm: 0.8378 0.1622 0.5000
Sn: 0.5000 0.5000 0.5000

Properties
For the formation enthalpy at 0 K, the calculation gives -0.2626 eV per atom. The density is 9.51 g/cm3. The space-group type is No. 65. The total magnetization comes out at 0.000 Bohr magnetons per cell.

Here is a relaxed structure of FeCoAg2 from the Alexandria database. Energies are from PBE.

a = 3.8066 Å, b = 3.8066 Å, c = 4.0767 Å
α = 90.00°, β = 90.00°, γ = 90.00°
Fractional coordinates of all 4 atoms:
Fe: 0.0000 0.0000 0.0000
Co: 0.5000 0.5000 0.0000
Ag: 0.0000 0.5000 0.5000
Ag: 0.5000 0.0000 0.5000

Properties
For the formation enthalpy at 0 K, the calculation gives 0.4291 eV per atom. The density is 9.29 g/cm3. The space-group type is No. 123. The total magnetization comes out at 4.615 Bohr magnetons per cell.

Here is a relaxed structure of Pr4U from the Alexandria database. Energies are from PBE.

a = 5.7346 Å, b = 5.7346 Å, c = 5.7346 Å
α = 90.00°, β = 90.00°, γ = 90.00°
Fractional coordinates of all 5 atoms:
Pr: 0.0000 0.0000 0.0000
Pr: 0.0000 0.5000 0.5000
Pr: 0.5000 0.0000 0.5000
Pr: 0.5000 0.5000 0.0000
U: 0.5000 0.5000 0.5000

Properties
For the formation enthalpy at 0 K, the calculation gives 0.7082 eV per atom. The density is 7.06 g/cm3. The space-group type is No. 221. The total magnetization comes out at 3.117 Bohr magnetons per cell.

Here is a relaxed structure of SmPuPdPt from the Alexandria database. Energies are from PBE.

a = 5.0156 Å, b = 5.0156 Å, c = 5.0156 Å
α = 60.00°, β = 60.00°, γ = 60.00°
Fractional coordinates of all 4 atoms:
Sm: 0.0000 0.0000 0.0000
Pu: 0.5000 0.5000 0.5000
Pd: 0.2500 0.2500 0.2500
Pt: 0.7500 0.7500 0.7500

Properties
Its energy relative to the lowest polymorph listed for this composition is 66.4 meV/atom. For the formation enthalpy at 0 K, the calculation gives -0.7489 eV per atom. The density is 12.95 g/cm3. The space-group type is No. 216. The total magnetization comes out at 5.780 Bohr magnetons per cell.